*P*
DFT (PBE) results for a relaxed KScI2O crystal.

```
data_KScI2O
_chemical_formula_sum 'K1 Sc1 I2 O1'
_symmetry_space_group_name_H-M 'P 4/m m m'
_symmetry_Int_Tables_number 123
_symmetry_space_group_name_Hall '-P 4 2'
_cell_length_a 6.134
_cell_length_b 6.134
_cell_length_c 3.957
_cell_angle_alpha 90.00
_cell_angle_beta 90.00
_cell_angle_gamma 90.00
loop_
_atom_site_label
_atom_site_type_symbol
_atom_site_fract_x
_atom_site_fract_y
_atom_site_fract_z
K1 K 0.000 0.000 0.000
Sc1 Sc 0.500 0.500 0.500
I1 I 0.000 0.500 0.500
O1 O 0.500 0.500 0.000
```

=====

*Q*
DFT (PBE) results for a relaxed KScI2O crystal.

```
data_KScI2O
_chemical_formula_sum 'K1 Sc1 I2 O1'
_symmetry_space_group_name_H-M 'P 4/m m m'
_symmetry_Int_Tables_number 123
_symmetry_space_group_name_Hall '-P 4 2'
_cell_length_a 6.103
_cell_length_b 6.103
_cell_length_c 4.218
_cell_angle_alpha 90.00
_cell_angle_beta 90.00
_cell_angle_gamma 90.00
loop_
_atom_site_label
_atom_site_type_symbol
_atom_site_fract_x
_atom_site_fract_y
_atom_site_fract_z
K1 K 0.000 0.000 0.000
Sc1 Sc 0.500 0.500 0.500
I1 I 0.000 0.500 0.000
O1 O 0.000 0.000 0.500
```

=====

*P* is preferred energetically. Next in line: 1837 meV/atom higher.